The following is a DFT calculation (PBE-GGA) of a geometry-optimized Rb2CdSnCl6 structure.

abc: 7.633 7.633 7.633
angles: 120.38 120.38 89.35
Element x y z (fractional)
1 Rb 0.250 0.750 0.500
2 Rb 0.750 0.250 0.500
3 Sn 0.500 0.500 0.000
4 Cl 0.756 0.244 0.000
5 Cl 0.243 0.243 0.000
6 Cl 0.244 0.244 0.487
7 Cl 0.244 0.756 0.000
8 Cl 0.757 0.757 0.000
9 Cl 0.756 0.756 0.513
10 Cd 0.000 0.000 0.000

Summary:
energy = -3.208 eV per atom